Record 1
Density functional theory data (PBE) for a relaxed Sc2AlZn2 crystal.

Output
D(E_F)   6.71 states/eV per cell
Calculated density   4.4 g/cm3

Cell: 6.8169 6.8169 4.0215 Å, 90.00 90.00 90.00°
With the nearest neighbours (Å) after each atom.
Positions (direct):
Al 0.5000 0.5000 0.0000  4 Zn 2.67
Zn 0.8700 0.6300 0.0000  1 Zn 2.51, 2 Al 2.67, 2 Sc 2.79
Al 0.0000 0.0000 0.0000  4 Zn 2.67
Sc 0.3300 0.1700 0.5000  6 Zn 2.79-2.88
Sc 0.6700 0.8300 0.5000  6 Zn 2.79-2.88
Zn 0.1300 0.3700 0.0000  1 Zn 2.51, 2 Al 2.67, 2 Sc 2.79
Zn 0.6300 0.1300 0.0000  1 Zn 2.51, 2 Al 2.67, 2 Sc 2.79
Sc 0.8300 0.3300 0.5000  6 Zn 2.79-2.88
Zn 0.3700 0.8700 0.0000  1 Zn 2.51, 2 Al 2.67, 2 Sc 2.79
Sc 0.1700 0.6700 0.5000  6 Zn 2.79-2.88


Record 2
Density functional theory data (PBE) for a relaxed ScAlZn3 crystal.

Output
D(E_F)   6.87 states/eV per cell
Calculated density   3.2 g/cm3
Distance to the lowest polymorph of the same formula   275 kJ/mol of formula units

Cell: 5.1972 5.1972 5.1972 Å, 90.00 90.00 90.00°
With the nearest neighbours (Å) after each atom.
Positions (direct):
Zn 0.0000 0.0000 0.5000  2 Sc 2.60
Zn 0.5000 0.0000 0.0000  2 Sc 2.60
Sc 0.0000 0.0000 0.0000  6 Zn 2.60
Zn 0.0000 0.5000 0.0000  2 Sc 2.60
Al 0.5000 0.5000 0.5000  12 Zn 3.67


Record 3
Density functional theory data (PBE) for a relaxed Sc6AlZn3 crystal.

Output
D(E_F)   17.55 states/eV per cell
Calculated density   4.1 g/cm3

Cell: 4.7330 8.4845 10.4469 Å, 106.54 90.00 90.00°
With the nearest neighbours (Å) after each atom.
Positions (direct):
Al 0.7500 0.0455 0.3924  8 Sc 2.82-3.03
Sc 0.7500 0.8715 0.8271  8 Sc 2.97-3.28, 3 Zn 3.04-3.15
Sc 0.7500 0.5353 0.9060  6 Zn 2.84-3.14, 1 Sc 3.16
Sc 0.7500 0.1668 0.6896  3 Zn 2.87-2.97, 3 Al 2.95-2.98
Zn 0.2500 0.5293 0.3801  8 Sc 2.78-3.05
Sc 0.2500 0.8332 0.3104  3 Zn 2.87-2.97, 3 Al 2.95-2.98
Zn 0.2500 0.7737 0.9709  8 Sc 2.82-3.15
Al 0.2500 0.9545 0.6076  8 Sc 2.82-3.03
Zn 0.2500 0.3804 0.7817  7 Sc 2.78-2.97
Zn 0.7500 0.6196 0.2183  7 Sc 2.78-2.97
Zn 0.7500 0.4707 0.6199  8 Sc 2.78-3.05
Sc 0.7500 0.8878 0.1151  3 Zn 2.78-2.82, 1 Al 2.82, 3 Sc 2.97-3.07
Sc 0.2500 0.2510 0.5000  4 Zn 2.83-3.05, 3 Al 2.96-3.03
Sc 0.7500 0.7490 0.5000  4 Zn 2.83-3.05, 3 Al 2.96-3.03
Sc 0.2500 0.6495 0.6773  5 Zn 2.78-2.98, 1 Al 2.88
Sc 0.2500 0.1285 0.1729  8 Sc 2.97-3.28, 3 Zn 3.04-3.15
Sc 0.7500 0.3505 0.3227  5 Zn 2.78-2.98, 1 Al 2.88
Sc 0.2500 0.1122 0.8849  3 Zn 2.78-2.82, 1 Al 2.82, 3 Sc 2.97-3.07
Sc 0.2500 0.4647 0.0940  6 Zn 2.84-3.14, 1 Sc 3.16
Zn 0.7500 0.2263 0.0291  8 Sc 2.82-3.15


Record 4
Density functional theory data (PBE) for a relaxed Sc2AlZn crystal.

Output
D(E_F)   3.23 states/eV per cell
Calculated density   4.0 g/cm3
Distance to the lowest polymorph of the same formula   0 kJ/mol of formula units

Cell: 3.3510 3.3510 6.7927 Å, 90.00 90.00 90.00°
With the nearest neighbours (Å) after each atom.
Positions (direct):
Al 0.5000 0.5000 0.7500  8 Sc 2.94
Sc 0.0000 0.0000 0.4929  4 Zn 2.89, 4 Al 2.94
Sc 0.0000 0.0000 0.0071  4 Zn 2.89, 4 Al 2.94
Zn 0.5000 0.5000 0.2500  8 Sc 2.89


Record 5
Density functional theory data (PBE) for a relaxed ScAlZn crystal.

Output
D(E_F)   4.21 states/eV per cell
Calculated density   4.2 g/cm3

Cell: 4.9451 5.8319 4.2793 Å, 89.99 115.91 102.77°
With the nearest neighbours (Å) after each atom.
Positions (direct):
Al 0.0690 0.1626 0.7211  3 Al 2.81-2.99, 5 Sc 2.82-2.96, 4 Zn 2.98-3.01
Zn 0.3724 0.4971 0.3748  5 Al 2.84-2.99, 5 Sc 2.85-2.97, 2 Zn 3.08-3.09
Zn 0.7310 0.8374 0.0533  6 Sc 2.88-3.03, 4 Al 2.89-3.01, 2 Zn 3.08-3.09
Al 0.7157 0.3385 0.0455  3 Al 2.81-2.99, 5 Zn 2.84-2.94, 4 Sc 2.93-2.95
Sc 0.0316 0.6488 0.7041  6 Zn 2.85-3.03, 4 Al 2.88-2.96
Sc 0.4167 0.0131 0.3955  5 Al 2.82-2.95, 5 Zn 2.88-2.97


Record 6
Density functional theory data (PBE) for a relaxed ScAlZn crystal.

Output
D(E_F)   3.49 states/eV per cell
Calculated density   4.2 g/cm3

Cell: 5.7116 4.3153 5.6066 Å, 112.62 61.22 111.86°
With the nearest neighbours (Å) after each atom.
Positions (direct):
Zn 0.5487 0.8342 0.0714  3 Al 2.60-2.71, 1 Zn 2.79, 2 Sc 2.89-2.90
Al 0.9655 0.7849 0.5558  3 Zn 2.60-2.71
Al 0.4161 0.4208 0.3766  3 Zn 2.60-2.65
Zn 0.9631 0.1439 0.2766  3 Al 2.60-2.65, 3 Sc 2.75-2.76, 1 Zn 2.79
Sc 0.9711 0.4798 0.9405  4 Zn 2.76-3.00, 4 Al 2.92-2.94
Sc 0.4720 0.1281 0.7371  4 Zn 2.75-3.02, 2 Al 2.94


Record 7
Density functional theory data (PBE) for a relaxed Sc2AlZn2 crystal.

Output
D(E_F)   7.03 states/eV per cell
Calculated density   4.1 g/cm3

Cell: 7.6092 7.6092 3.4547 Å, 90.00 90.00 90.00°
With the nearest neighbours (Å) after each atom.
Positions (direct):
Zn 0.1448 0.6448 0.5000  6 Sc 2.77-2.85
Zn 0.3552 0.1448 0.5000  6 Sc 2.77-2.85
Sc 0.8466 0.6534 0.0000  6 Zn 2.77-2.85, 2 Al 2.88
Al 0.5000 0.5000 0.0000  4 Sc 2.88
Sc 0.1534 0.3466 0.0000  6 Zn 2.77-2.85, 2 Al 2.88
Zn 0.6448 0.8552 0.5000  6 Sc 2.77-2.85
Al 0.0000 0.0000 0.0000  4 Sc 2.88
Sc 0.3466 0.8466 0.0000  6 Zn 2.77-2.85, 2 Al 2.88
Sc 0.6534 0.1534 0.0000  6 Zn 2.77-2.85, 2 Al 2.88
Zn 0.8552 0.3552 0.5000  6 Sc 2.77-2.85


Record 8
Density functional theory data (PBE) for a relaxed Sc6Al5Zn crystal.

Output
D(E_F)   4.26 states/eV per cell
Calculated density   3.4 g/cm3

Cell: 4.7838 6.7102 7.5708 Å, 90.00 71.58 89.99°
With the nearest neighbours (Å) after each atom.
Positions (direct):
Sc 0.5000 0.7538 0.0000  2 Zn 2.91, 6 Al 2.92-2.95
Al 0.6677 0.5000 0.6646  8 Sc 2.93-2.95
Al 0.3328 0.0000 0.3343  8 Sc 2.92-2.93
Al 0.3323 0.5000 0.3354  8 Sc 2.93-2.95
Sc 0.8352 0.2484 0.3296  1 Zn 2.90, 7 Al 2.91-2.94
Sc 0.8352 0.7516 0.3296  1 Zn 2.90, 7 Al 2.91-2.94
Sc 0.5000 0.2462 0.0000  2 Zn 2.91, 6 Al 2.92-2.95
Sc 0.1648 0.7516 0.6704  1 Zn 2.90, 7 Al 2.91-2.94
Al 0.0000 0.5000 0.0000  8 Sc 2.91-2.94
Al 0.6672 0.0000 0.6657  8 Sc 2.92-2.93
Sc 0.1648 0.2484 0.6704  1 Zn 2.90, 7 Al 2.91-2.94
Zn 0.0000 0.0000 0.0000  8 Sc 2.90-2.91


Record 9
Density functional theory data (PBE) for a relaxed ScAlZn crystal.

Output
D(E_F)   3.44 states/eV per cell
Calculated density   4.2 g/cm3

Cell: 4.3506 5.1199 5.8987 Å, 67.74 90.05 115.25°
With the nearest neighbours (Å) after each atom.
Positions (direct):
Sc 0.0137 0.1254 0.2830  5 Zn 2.80-3.04, 5 Al 2.94-3.01, 2 Sc 3.09
Zn 0.6523 0.4023 0.9573  1 Zn 2.60, 1 Al 2.66, 4 Sc 2.82-2.83
Sc 0.3042 0.7062 0.6431  4 Zn 2.82-3.04, 6 Al 2.87-3.03, 2 Sc 3.09
Al 0.9656 0.0289 0.8089  3 Zn 2.66-2.80, 2 Sc 2.87-2.94
Zn 0.3430 0.7848 0.1302  1 Zn 2.60, 2 Al 2.79-2.80, 2 Sc 2.80-2.89
Al 0.6586 0.4151 0.4586  4 Zn 2.92-2.98, 6 Sc 2.96-3.01, 2 Al 3.02


Record 10
Density functional theory data (PBE) for a relaxed Sc2Al2Zn crystal.

Output
D(E_F)   7.86 states/eV per cell
Calculated density   3.6 g/cm3
Distance to the lowest polymorph of the same formula   0 kJ/mol of formula units

Cell: 4.4000 5.4855 9.0649 Å, 93.47 75.95 66.36°
With the nearest neighbours (Å) after each atom.
Positions (direct):
Sc 0.9083 0.2595 0.9239  6 Al 2.94-3.10, 2 Zn 3.09, 2 Sc 3.14-3.22
Zn 0.5905 0.1442 0.6747  3 Al 2.53-2.54
Sc 0.6954 0.2606 0.3487  7 Al 2.88-3.07, 4 Zn 2.98-3.03, 1 Sc 3.22
Zn 0.4095 0.8558 0.3253  3 Al 2.53-2.54
Sc 0.0917 0.7405 0.0761  6 Al 2.94-3.10, 2 Zn 3.09, 2 Sc 3.14-3.22
Al 0.0410 0.3250 0.5932  2 Zn 2.53, 1 Al 2.61
Al 0.6569 0.8199 0.8663  1 Zn 2.54, 1 Al 2.70
Sc 0.3046 0.7394 0.6513  7 Al 2.88-3.07, 4 Zn 2.98-3.03, 1 Sc 3.22
Al 0.9590 0.6750 0.4068  2 Zn 2.53, 1 Al 2.61
Al 0.3431 0.1801 0.1337  1 Zn 2.54, 1 Al 2.70


Record 11
Density functional theory data (PBE) for a relaxed Sc2Al3Zn crystal.

Output
D(E_F)   6.16 states/eV per cell
Calculated density   3.6 g/cm3

Cell: 5.4671 5.4671 8.3257 Å, 102.94 102.94 108.54°
With the nearest neighbours (Å) after each atom.
Positions (direct):
Al 0.3373 0.8315 0.1687  1 Zn 2.53, 2 Al 2.59-2.60
Sc 0.7500 0.2500 0.5000  8 Al 3.00-3.01, 4 Zn 3.02, 2 Sc 3.19
Sc 0.2490 0.2490 0.0000  10 Al 3.01-3.05, 2 Zn 3.03, 2 Sc 3.18-3.21
Al 0.8315 0.3373 0.1687  1 Zn 2.53, 2 Al 2.59-2.60
Al 0.1689 0.1689 0.3379  1 Zn 2.52, 2 Al 2.59
Zn 0.3330 0.3330 0.6660  3 Al 2.52-2.53
Al 0.6627 0.1685 0.8313  1 Zn 2.53, 2 Al 2.59-2.60
Zn 0.6670 0.6670 0.3340  3 Al 2.52-2.53
Sc 0.7510 0.7510 0.0000  10 Al 3.01-3.05, 2 Zn 3.03, 2 Sc 3.18-3.21
Al 0.8311 0.8311 0.6621  1 Zn 2.52, 2 Al 2.59
Al 0.1685 0.6627 0.8313  1 Zn 2.53, 2 Al 2.59-2.60
Sc 0.2500 0.7500 0.5000  8 Al 3.00-3.01, 4 Zn 3.02, 2 Sc 3.19


Record 12
Density functional theory data (PBE) for a relaxed Sc2AlZn2 crystal.

Output
D(E_F)   3.35 states/eV per cell
Calculated density   3.9 g/cm3

Cell: 4.2590 4.2590 6.4964 Å, 70.87 70.87 90.00°
With the nearest neighbours (Å) after each atom.
Positions (direct):
Zn 0.4007 0.4007 0.1987  1 Zn 2.29
Zn 0.5993 0.5993 0.8013  1 Zn 2.29
Sc 0.7500 0.2500 0.5000  4 Zn 2.75, 4 Sc 3.01
Al 0.0000 0.0000 0.0000  8 Zn 3.22, 8 Sc 3.58
Sc 0.2500 0.7500 0.5000  4 Zn 2.75, 4 Sc 3.01


Number 1: ΔE_f -0.3748 eV/atom. Number 2: ΔE_f 0.9113 eV/atom. Number 3: ΔE_f -0.2877 eV/atom. Number 4: ΔE_f -0.4250 eV/atom. Number 5: ΔE_f -0.3062 eV/atom. Number 6: ΔE_f -0.3157 eV/atom. Number 7: ΔE_f -0.0542 eV/atom. Number 8: ΔE_f -0.4471 eV/atom. Number 9: ΔE_f -0.2986 eV/atom. Number 10: ΔE_f -0.3994 eV/atom. Number 11: ΔE_f -0.4593 eV/atom. Number 12: ΔE_f 0.1213 eV/atom.